The following is a GGA-PBE calculation of a relaxed structure of LiTlNi2, from Alexandria.

a b c (Å): 2.9958 2.9958 24.3505
angles (deg): 90.00 90.00 120.00
Space group R-3m (No. 166, hexagonal axes)
Unique sites:
Li  0.0000  0.0000  0.0000 [3 per cell]
Tl  0.0000  0.0000  0.5000 [3 per cell]
Ni  0.0000  0.0000  0.2530 [6 per cell]

V: 189.26 Å³ per cell
calculated formation energy: 0.426 eV per atom
M_tot: 0.00 μB/f.u.

---

The following is a GGA-PBE calculation of a relaxed structure of CsK2CuS2, from Alexandria.

a b c (Å): 7.841 8.633 5.745
angles (deg): 90.00 90.00 90.00
Space group Pnnm (No. 58)
Unique sites:
Cs  0.000  0.000  0.000 [2 per cell]
K  0.108  0.255  0.500 [4 per cell]
Cu  0.000  0.500  0.000 [2 per cell]
S  0.240  0.383  0.000 [4 per cell]

V: 388.86 Å³ per cell
uncorrected formation energy: -0.909 eV/atom
M_tot: 0.00 μB/f.u.

---

The following is a GGA-PBE calculation of a relaxed structure of CeReF, from Alexandria.

a b c (Å): 3.134 3.134 10.002
angles (deg): 90.00 90.00 90.00
Space group P4/nmm (No. 129, origin choice 2)
Unique sites:
Ce  0.250  0.250  0.208 [2 per cell]
Re  0.250  0.250  0.570 [2 per cell]
F  0.250  0.250  0.921 [2 per cell]

V: 98.23 Å³ per cell
uncorrected formation energy: -1.563 eV/atom
M_tot: 0.00 μB/f.u.

---

The following is a GGA-PBE calculation of a relaxed structure of LiCl3, from Alexandria.

a b c (Å): 3.2007 3.2007 37.1007
angles (deg): 90.00 90.00 120.00
Space group R-3m (No. 166, hexagonal axes)
Unique sites:
Li  0.0000  0.0000  0.0000 [3 per cell]
Cl  0.0000  0.0000  0.0579 [6 per cell]
Cl  0.0000  0.0000  0.5000 [3 per cell]

V: 329.16 Å³ per cell
uncorrected formation energy: -0.165 eV/atom
relative energy among the computed polymorphs: 701 meV/atom
M_tot: 1.00 μB/f.u.

---

The following is a GGA-PBE calculation of a relaxed structure of InPt2W, from Alexandria.

a b c (Å): 2.905 2.905 8.005
angles (deg): 90.00 90.00 90.00
Space group P4mm (No. 99)
Unique sites:
In  0.000  0.000  0.000 [1 per cell]
Pt  0.000  0.000  0.508 [1 per cell]
Pt  0.500  0.500  0.248 [1 per cell]
W  0.500  0.500  0.728 [1 per cell]

V: 67.57 Å³ per cell
calculated formation energy: -0.051 eV per atom
M_tot: 0.00 μB/f.u.

---

The following is a GGA-PBE calculation of a relaxed structure of InFe2Mo, from Alexandria.

a b c (Å): 2.975 4.445 8.944
angles (deg): 90.00 90.00 90.00
Space group Imm2 (No. 44)
Unique sites:
In  0.000  0.000  0.000 [2 per cell]
Fe  0.000  0.000  0.476 [2 per cell]
Fe  0.000  0.500  0.760 [2 per cell]
Mo  0.000  0.500  0.223 [2 per cell]

V: 118.27 Å³ per cell
calculated formation energy: 0.287 eV per atom
M_tot: 4.07 μB/f.u.

---

The following is a GGA-PBE calculation of a relaxed structure of Hf3BeSb, from Alexandria.

a b c (Å): 4.669 4.669 4.669
angles (deg): 90.00 90.00 90.00
Space group Pm-3m (No. 221)
Unique sites:
Hf  0.000  0.000  0.500 [3 per cell]
Be  0.000  0.000  0.000 [1 per cell]
Sb  0.500  0.500  0.500 [1 per cell]

V: 101.77 Å³ per cell
uncorrected formation energy: 0.017 eV/atom
relative energy among the computed polymorphs: 0 meV/atom
M_tot: 0.00 μB/f.u.

---

The following is a GGA-PBE calculation of a relaxed structure of NaTiTlPt2, from Alexandria.

a b c (Å): 5.092 5.092 4.930
angles (deg): 90.00 90.00 90.00
Space group P4/mmm (No. 123)
Unique sites:
Na  0.000  0.000  0.000 [1 per cell]
Ti  0.500  0.500  0.000 [1 per cell]
Tl  0.000  0.000  0.500 [1 per cell]
Pt  0.000  0.500  0.500 [2 per cell]

V: 127.84 Å³ per cell
calculated formation energy: 0.934 eV per atom
M_tot: 2.20 μB/f.u.